Record 1
Tc3RuF: optimized geometry, PBE-GGA.

a = 4.1159 Å, b = 4.1159 Å, c = 4.1159 Å
α = 90.00°, β = 90.00°, γ = 90.00°
Positions (direct):
Tc: 0.0000 0.0000 0.5000
Tc: 0.0000 0.5000 0.0000
Tc: 0.5000 0.0000 0.0000
Ru: 0.5000 0.5000 0.5000
F: 0.0000 0.0000 0.0000

Computed properties:
energy above the most stable polymorph in this dataset = 0 meV/atom
E_form (uncorrected) = 0.892 eV/atom

---

Record 2
Tc3RuF: optimized geometry, PBE-GGA.

a = 4.6931 Å, b = 4.6931 Å, c = 4.6931 Å
α = 90.00°, β = 90.00°, γ = 90.00°
Positions (direct):
Tc: 0.0000 0.0000 0.5000
Tc: 0.0000 0.5000 0.0000
Tc: 0.5000 0.0000 0.0000
Ru: 0.0000 0.0000 0.0000
F: 0.5000 0.5000 0.5000

Computed properties:
energy above the most stable polymorph in this dataset = 825 meV/atom
E_form (uncorrected) = 1.718 eV/atom

---

Record 3
TiTcRuF2: optimized geometry, PBE-GGA.

a = 3.9944 Å, b = 3.9944 Å, c = 5.0526 Å
α = 90.00°, β = 90.00°, γ = 90.00°
Positions (direct):
Ti: 0.0000 0.0000 0.0000
Tc: 0.5000 0.5000 0.0000
Ru: 0.0000 0.0000 0.5000
F: 0.0000 0.5000 0.5000
F: 0.5000 0.0000 0.5000

Computed properties:
E_form (uncorrected) = 0.081 eV/atom

---

Record 4
Te2RuF: optimized geometry, PBE-GGA.

a = 6.5008 Å, b = 6.5008 Å, c = 6.5008 Å
α = 90.00°, β = 90.00°, γ = 90.00°
Positions (direct):
Te: 0.2500 0.2500 0.2500
Te: 0.2500 0.2500 0.7500
Te: 0.2500 0.7500 0.2500
Te: 0.2500 0.7500 0.7500
Te: 0.7500 0.2500 0.2500
Te: 0.7500 0.2500 0.7500
Te: 0.7500 0.7500 0.2500
Te: 0.7500 0.7500 0.7500
Ru: 0.0000 0.0000 0.0000
Ru: 0.0000 0.5000 0.5000
Ru: 0.5000 0.0000 0.5000
Ru: 0.5000 0.5000 0.0000
F: 0.0000 0.0000 0.5000
F: 0.0000 0.5000 0.0000
F: 0.5000 0.0000 0.0000
F: 0.5000 0.5000 0.5000

Computed properties:
energy above the most stable polymorph in this dataset = 51 meV/atom
E_form (uncorrected) = -0.513 eV/atom

---

Record 5
Te2RuF: optimized geometry, PBE-GGA.

a = 4.1199 Å, b = 4.1199 Å, c = 20.8655 Å
α = 90.00°, β = 90.00°, γ = 120.00°
Positions (direct):
Te: 0.0000 0.0000 0.1093
Te: 0.0000 0.0000 0.8907
Te: 0.3333 0.6667 0.5574
Te: 0.3333 0.6667 0.7760
Te: 0.6667 0.3333 0.2240
Te: 0.6667 0.3333 0.4426
Ru: 0.0000 0.0000 0.5000
Ru: 0.3333 0.6667 0.1667
Ru: 0.6667 0.3333 0.8333
F: 0.0000 0.0000 0.0000
F: 0.3333 0.6667 0.6667
F: 0.6667 0.3333 0.3333

Computed properties:
energy above the most stable polymorph in this dataset = 0 meV/atom
E_form (uncorrected) = -0.564 eV/atom

---

Record 6
Te3RuF: optimized geometry, PBE-GGA.

a = 4.9287 Å, b = 4.9287 Å, c = 4.9287 Å
α = 90.00°, β = 90.00°, γ = 90.00°
Positions (direct):
Te: 0.0000 0.0000 0.5000
Te: 0.0000 0.5000 0.0000
Te: 0.5000 0.0000 0.0000
Ru: 0.5000 0.5000 0.5000
F: 0.0000 0.0000 0.0000

Computed properties:
energy above the most stable polymorph in this dataset = 442 meV/atom
E_form (uncorrected) = 0.688 eV/atom

---

Record 7
Te2RuF: optimized geometry, PBE-GGA.

a = 6.0855 Å, b = 6.0855 Å, c = 11.4704 Å
α = 90.00°, β = 90.00°, γ = 90.00°
Positions (direct):
Te: 0.2253 0.2500 0.1250
Te: 0.2500 0.7253 0.3750
Te: 0.2500 0.7747 0.8750
Te: 0.2747 0.2500 0.6250
Te: 0.7253 0.7500 0.6250
Te: 0.7500 0.2253 0.8750
Te: 0.7500 0.2747 0.3750
Te: 0.7747 0.7500 0.1250
Ru: 0.0000 0.0000 0.0000
Ru: 0.0000 0.5000 0.2500
Ru: 0.5000 0.0000 0.7500
Ru: 0.5000 0.5000 0.5000
F: 0.0000 0.0000 0.5000
F: 0.0000 0.5000 0.7500
F: 0.5000 0.0000 0.2500
F: 0.5000 0.5000 0.0000

Computed properties:
energy above the most stable polymorph in this dataset = 235 meV/atom
E_form (uncorrected) = -0.329 eV/atom

---

Record 8
Te3RuF: optimized geometry, PBE-GGA.

a = 5.1393 Å, b = 5.1393 Å, c = 5.1393 Å
α = 90.00°, β = 90.00°, γ = 90.00°
Positions (direct):
Te: 0.0000 0.0000 0.5000
Te: 0.0000 0.5000 0.0000
Te: 0.5000 0.0000 0.0000
Ru: 0.0000 0.0000 0.0000
F: 0.5000 0.5000 0.5000

Computed properties:
energy above the most stable polymorph in this dataset = 0 meV/atom
E_form (uncorrected) = 0.246 eV/atom

---

Record 9
TeRuF3: optimized geometry, PBE-GGA.

a = 4.5949 Å, b = 4.5949 Å, c = 4.5949 Å
α = 90.00°, β = 90.00°, γ = 90.00°
Positions (direct):
Te: 0.0000 0.0000 0.0000
Ru: 0.5000 0.5000 0.5000
F: 0.0000 0.0000 0.5000
F: 0.0000 0.5000 0.0000
F: 0.5000 0.0000 0.0000

Computed properties:
E_form (uncorrected) = -0.100 eV/atom

---

Record 10
TiTe2RuF: optimized geometry, PBE-GGA.

a = 5.2935 Å, b = 5.2935 Å, c = 3.7421 Å
α = 90.00°, β = 90.00°, γ = 90.00°
Positions (direct):
Ti: 0.0000 0.0000 0.0000
Te: 0.0000 0.5000 0.0000
Te: 0.5000 0.0000 0.0000
Ru: 0.5000 0.5000 0.5000
F: 0.0000 0.0000 0.5000

Computed properties:
E_form (uncorrected) = -0.422 eV/atom

---

Record 11
TlTeRu2F: optimized geometry, PBE-GGA.

a = 5.2392 Å, b = 5.2392 Å, c = 5.5135 Å
α = 90.00°, β = 90.00°, γ = 90.00°
Positions (direct):
Tl: 0.0000 0.0000 0.0000
Te: 0.0000 0.0000 0.5000
Ru: 0.0000 0.5000 0.0000
Ru: 0.5000 0.0000 0.0000
F: 0.5000 0.5000 0.5000

Computed properties:
E_form (uncorrected) = 1.651 eV/atom

---

Record 12
TiRuF2: optimized geometry, PBE-GGA.

a = 3.6107 Å, b = 3.6107 Å, c = 15.0407 Å
α = 90.00°, β = 90.00°, γ = 90.00°
Positions (direct):
Ti: 0.0000 0.0000 0.0000
Ti: 0.0000 0.5000 0.2500
Ti: 0.5000 0.0000 0.7500
Ti: 0.5000 0.5000 0.5000
Ru: 0.0000 0.0000 0.5000
Ru: 0.0000 0.5000 0.7500
Ru: 0.5000 0.0000 0.2500
Ru: 0.5000 0.5000 0.0000
F: 0.2291 0.2500 0.1250
F: 0.2500 0.7291 0.3750
F: 0.2500 0.7709 0.8750
F: 0.2709 0.2500 0.6250
F: 0.7291 0.7500 0.6250
F: 0.7500 0.2291 0.8750
F: 0.7500 0.2709 0.3750
F: 0.7709 0.7500 0.1250

Computed properties:
energy above the most stable polymorph in this dataset = 233 meV/atom
E_form (uncorrected) = -1.161 eV/atom